An optimized crystal structure of In3ReSb. Source: Alexandria via LeMat-Bulk, functional PBE.

Properties
The energy relative to the elements, uncorrected is 706.2 meV per atom. For the total energy, the calculation gives -4.25 eV per atom.

Lattice parameters (Å, degrees): 5.2809 5.2809 5.2809 90.00 90.00 90.00
Closest atoms and distances in Å follow each position.
Fractional coordinates of all 5 atoms:
In  0.0000  0.5000  0.0000  2 Re 2.64
In  0.5000  0.0000  0.0000  2 Re 2.64
Sb  0.5000  0.5000  0.5000  12 In 3.73
Re  0.0000  0.0000  0.0000  6 In 2.64
In  0.0000  0.0000  0.5000  2 Re 2.64

An optimized crystal structure of BeI2N. Source: Alexandria via LeMat-Bulk, functional PBE.

Properties
The energy relative to the elements, uncorrected is 917.3 meV per atom. For the total energy, the calculation gives -2.87 eV per atom.

Lattice parameters (Å, degrees): 7.0865 7.0865 7.0518 59.84 59.84 90.00
Closest atoms and distances in Å follow each position.
Fractional coordinates of all 8 atoms:
N  0.0000  0.0000  0.0000  4 I 3.24
I  0.2150  0.6250  0.2500  2 Be 2.44
I  0.5350  0.1250  0.2500  2 Be 2.44
I  0.3750  0.4650  0.7500  2 Be 2.44
N  0.7500  0.2500  0.5000  4 I 3.24
Be  0.2500  0.7500  0.5000  4 I 2.44
Be  0.5000  0.5000  0.0000  4 I 2.44
I  0.8750  0.7850  0.7500  2 Be 2.44

An optimized crystal structure of SiTcOs2. Source: Alexandria via LeMat-Bulk, functional PBE.

Properties
The energy relative to the elements, uncorrected is -81.2 meV per atom. For the total energy, the calculation gives -9.64 eV per atom.

Lattice parameters (Å, degrees): 3.9524 2.7774 5.2865 74.89 90.00 90.00
Closest atoms and distances in Å follow each position.
Fractional coordinates of all 4 atoms:
Os  0.5000  0.4384  0.2491  2 Si 2.43, 1 Tc 2.70, 4 Os 2.72
Tc  0.5000  0.7031  0.7200  4 Si 2.61, 7 Os 2.70-2.82, 2 Tc 2.78
Si  0.0000  0.2973  0.5267  3 Os 2.43-2.44, 4 Tc 2.61
Os  0.0000  0.0613  0.0041  1 Si 2.44, 4 Os 2.72

Fermi-level density of states in states/eV per cell, matching the order above: 3.90 0.00 3.66